1.
{
  "formula": "Hf2CrOsN",
  "functional": "PBE",
  "state": "optimized geometry",
  "lattice": [[4.905, 0.000, 0.000], [0.000, 3.486, 0.000], [0.000, 0.000, 4.905]],
  "species": ["Hf", "Hf", "N", "Os", "Cr"],
  "frac_coords": [[0.000, 0.000, 0.500], [0.500, 0.000, 0.000], [0.000, 0.500, 0.000], [0.500, 0.500, 0.500], [0.000, 0.000, 0.000]],
  "magmom_total_mub_per_fu": 0.00,
  "energy_ev_per_atom": -9.228,
  "density_g_cm3": 12.1,
  "polymorph_energy_mev_per_atom": 1336,
  "formation_energy_uncorrected_ev_per_fu": 2.94
}


2.
{
  "formula": "Hf2CrOsN",
  "functional": "PBE",
  "state": "optimized geometry",
  "lattice": [[4.514, 0.000, 0.000], [0.000, 4.514, 0.000], [0.000, 0.000, 3.608]],
  "species": ["Hf", "Hf", "N", "Os", "Cr"],
  "frac_coords": [[0.000, 0.500, 0.000], [0.500, 0.000, 0.000], [0.000, 0.000, 0.000], [0.500, 0.500, 0.500], [0.000, 0.000, 0.500]],
  "magmom_total_mub_per_fu": 0.15,
  "energy_ev_per_atom": -10.565,
  "density_g_cm3": 13.8,
  "polymorph_energy_mev_per_atom": 0,
  "formation_energy_uncorrected_ev_per_fu": -3.74
}


3.
{
  "formula": "HfPa2CrN5",
  "functional": "PBE",
  "state": "optimized geometry",
  "lattice": [[-0.512, 2.706, 1.774], [-2.417, -4.988, 3.889], [9.198, -1.091, 4.317]],
  "species": ["Hf", "Hf", "Pa", "Pa", "Pa", "Pa", "Cr", "Cr", "N", "N", "N", "N", "N", "N", "N", "N", "N", "N"],
  "frac_coords": [[0.796, 0.593, 0.506], [0.204, 0.407, 0.006], [0.856, 0.712, 0.802], [0.104, 0.209, 0.682], [0.144, 0.288, 0.302], [0.896, 0.791, 0.182], [0.522, 0.045, 0.961], [0.478, 0.955, 0.461], [0.370, 0.740, 0.999], [0.676, 0.351, 0.868], [0.486, 0.971, 0.779], [0.280, 0.561, 0.661], [0.952, 0.905, 0.566], [0.630, 0.260, 0.499], [0.324, 0.649, 0.368], [0.514, 0.029, 0.279], [0.720, 0.439, 0.161], [0.048, 0.095, 0.066]],
  "magmom_total_mub_per_fu": 1.61,
  "energy_ev_per_atom": -10.292,
  "density_g_cm3": 11.5,
  "formation_energy_uncorrected_ev_per_fu": -12.43
}